Record 1
Below is crystalline Pr2Si4HgPt3 at its relaxed geometry, with properties calculated at the PBE level.

## Properties
* raw total energy: -5.8623 eV/atom
* total magnetization: 0.0 μB per cell

a b c (Å): 4.330 4.330 10.065
angles (deg): 90.00 90.00 90.00
Space group P-4m2 (No. 115)
Symmetry-distinct sites (fractional):
1 Pr 0.000 0.500 0.242
2 Si 0.000 0.000 0.000
3 Si 0.000 0.500 0.646
4 Si 0.500 0.500 0.000
5 Hg 0.000 0.000 0.500
6 Pt 0.000 0.500 0.886
7 Pt 0.500 0.500 0.500

Record 2
Below is crystalline Pr2Si3HgPt4 at its relaxed geometry, with properties calculated at the PBE level.

## Properties
* raw total energy: -5.9289 eV/atom
* total magnetization: 0.0 μB per cell

a b c (Å): 4.324 4.324 10.360
angles (deg): 90.00 90.00 90.00
Space group P-4m2 (No. 115)
Symmetry-distinct sites (fractional):
1 Pr 0.000 0.500 0.247
2 Si 0.000 0.500 0.880
3 Si 0.500 0.500 0.500
4 Hg 0.000 0.000 0.500
5 Pt 0.000 0.000 0.000
6 Pt 0.000 0.500 0.654
7 Pt 0.500 0.500 0.000